# LiErPd4

A relaxed structure of LiErPd4 (GGA-PBE, Alexandria).

Cell lengths 4.596, 4.998, 5.058 Å; angles 85.32, 63.02, 89.65 degrees
Fractional coordinates of all 6 atoms:
Li 0.000 0.000 0.000
Er 0.500 0.500 0.000
Pd 0.177 0.406 0.645
Pd 0.324 0.934 0.351
Pd 0.676 0.066 0.649
Pd 0.823 0.594 0.355

Results
The energy above the lowest structure with this stoichiometry is 0.049 eV per atom.

---

# LiErPd4

A relaxed structure of LiErPd4 (GGA-PBE, Alexandria).

Cell lengths 5.321, 5.321, 5.321 Å; angles 60.00, 60.00, 60.00 degrees
Fractional coordinates of all 6 atoms:
Li 0.000 0.000 0.000
Er 0.750 0.750 0.750
Pd 0.375 0.375 0.375
Pd 0.375 0.375 0.876
Pd 0.375 0.876 0.375
Pd 0.876 0.375 0.375

Results
The energy above the lowest structure with this stoichiometry is 0.000 eV per atom.

---

# LiEr4Pd

A relaxed structure of LiEr4Pd (GGA-PBE, Alexandria).

Cell lengths 4.850, 4.850, 7.250 Å; angles 90.00, 90.00, 90.00 degrees
Fractional coordinates of all 6 atoms:
Li 0.000 0.000 0.000
Er 0.000 0.500 0.268
Er 0.000 0.500 0.732
Er 0.500 0.000 0.268
Er 0.500 0.000 0.732
Pd 0.500 0.500 0.500

Results
The final energy is -0.155 hartree per atom.

---

# LiErPd

A relaxed structure of LiErPd (GGA-PBE, Alexandria).

Cell lengths 4.591, 4.591, 4.591 Å; angles 60.00, 60.00, 60.00 degrees
Fractional coordinates of all 3 atoms:
Li 0.000 0.000 0.000
Er 0.500 0.500 0.500
Pd 0.750 0.750 0.750

Results
The energy above the lowest structure with this stoichiometry is 0.189 eV per atom.

---

# LiEr2Pd9

A relaxed structure of LiEr2Pd9 (GGA-PBE, Alexandria).

Cell lengths 4.101, 4.101, 11.764 Å; angles 90.00, 90.00, 90.00 degrees
Fractional coordinates of all 12 atoms:
Li 0.000 0.000 0.000
Er 0.000 0.000 0.326
Er 0.000 0.000 0.674
Pd 0.000 0.500 0.155
Pd 0.000 0.500 0.500
Pd 0.000 0.500 0.845
Pd 0.500 0.000 0.155
Pd 0.500 0.000 0.500
Pd 0.500 0.000 0.845
Pd 0.500 0.500 0.000
Pd 0.500 0.500 0.326
Pd 0.500 0.500 0.674

Results
The final energy is -0.202 hartree per atom.

---

# LiErPd

A relaxed structure of LiErPd (GGA-PBE, Alexandria).

Cell lengths 3.985, 3.985, 7.584 Å; angles 90.00, 90.00, 90.00 degrees
Fractional coordinates of all 6 atoms:
Li 0.250 0.750 0.000
Li 0.750 0.250 0.000
Er 0.250 0.250 0.349
Er 0.750 0.750 0.651
Pd 0.250 0.250 0.738
Pd 0.750 0.750 0.262

Results
The energy above the lowest structure with this stoichiometry is 0.000 eV per atom.